Entry a
# AlTeIr2 | Alexandria | PBEsol | optimized geometry
data_AlTeIr2
_space_group_name_H-M_alt 'I -4 2 d'
_space_group_IT_number 122
_space_group_name_Hall 'I -4 2bw'
_cell_length_a 4.126
_cell_length_b 4.126
_cell_length_c 16.581
_cell_angle_alpha 90.00
_cell_angle_beta 90.00
_cell_angle_gamma 90.00
loop_
_atom_site_label
_atom_site_type_symbol
_atom_site_fract_x
_atom_site_fract_y
_atom_site_fract_z
_atom_site_occupancy
Al1 Al 0.000 0.000 0.000 1
Te1 Te 0.000 0.000 0.500 1
Ir1 Ir 0.240 0.250 0.125 1
# Theoretical density, g/cm³: 12.685
# Magnetization, μB per cell: 0.00

***

Entry b
# AlTeIr2 | Alexandria | PBEsol | optimized geometry
data_AlTeIr2
_space_group_name_H-M_alt 'I -4 m 2'
_space_group_IT_number 119
_space_group_name_Hall 'I -4 -2'
_cell_length_a 3.809
_cell_length_b 3.809
_cell_length_c 8.831
_cell_angle_alpha 90.00
_cell_angle_beta 90.00
_cell_angle_gamma 90.00
loop_
_atom_site_label
_atom_site_type_symbol
_atom_site_fract_x
_atom_site_fract_y
_atom_site_fract_z
_atom_site_occupancy
Al1 Al 0.000 0.000 0.000 1
Te1 Te 0.000 0.500 0.750 1
Ir1 Ir 0.000 0.000 0.500 1
Ir2 Ir 0.000 0.500 0.250 1
# Theoretical density, g/cm³: 13.974
# Magnetization, μB per cell: 0.00

***

Energy relative to the most stable one, in meV per atom: entry a 0; entry b 55

***

Entry a
# AlTlIr2 | Alexandria | PBEsol | optimized geometry
data_AlTlIr2
_space_group_name_H-M_alt 'P m m 2'
_space_group_IT_number 25
_cell_length_a 2.868
_cell_length_b 3.884
_cell_length_c 5.845
_cell_angle_alpha 90.00
_cell_angle_beta 90.00
_cell_angle_gamma 90.00
loop_
_space_group_symop_operation_xyz
'x,y,z'
'-x,-y,z'
'-x,y,z'
'x,-y,z'
loop_
_atom_site_label
_atom_site_type_symbol
_atom_site_fract_x
_atom_site_fract_y
_atom_site_fract_z
_atom_site_occupancy
Al1 Al 0.000 0.000 0.000 1
Tl1 Tl 0.500 0.500 0.660 1
Ir1 Ir 0.000 0.000 0.426 1
Ir2 Ir 0.500 0.500 0.142 1
# Theoretical density, g/cm³: 15.705
# Magnetization, μB per cell: 0.00

***

Entry b
# AlTlIr2 | Alexandria | PBEsol | optimized geometry
data_AlTlIr2
_space_group_name_H-M_alt 'I -4 m 2'
_space_group_IT_number 119
_space_group_name_Hall 'I -4 -2'
_cell_length_a 3.864
_cell_length_b 3.864
_cell_length_c 8.465
_cell_angle_alpha 90.00
_cell_angle_beta 90.00
_cell_angle_gamma 90.00
loop_
_atom_site_label
_atom_site_type_symbol
_atom_site_fract_x
_atom_site_fract_y
_atom_site_fract_z
_atom_site_occupancy
Al1 Al 0.000 0.000 0.000 1
Tl1 Tl 0.000 0.500 0.750 1
Ir1 Ir 0.000 0.000 0.500 1
Ir2 Ir 0.000 0.500 0.250 1
# Theoretical density, g/cm³: 16.179
# Magnetization, μB per cell: 0.00

***

Energy relative to the most stable one, in meV per atom: entry a 0; entry b 107

***

Entry a
# K3Al | Alexandria | PBEsol | optimized geometry
data_K3Al
_space_group_name_H-M_alt 'I m m 2'
_space_group_IT_number 44
_cell_length_a 4.760
_cell_length_b 12.382
_cell_length_c 6.225
_cell_angle_alpha 90.00
_cell_angle_beta 90.00
_cell_angle_gamma 90.00
loop_
_space_group_symop_operation_xyz
'x,y,z'
'-x,-y,z'
'-x,y,z'
'x,-y,z'
'x+1/2,y+1/2,z+1/2'
'-x+1/2,-y+1/2,z+1/2'
'-x+1/2,y+1/2,z+1/2'
'x+1/2,-y+1/2,z+1/2'
loop_
_atom_site_label
_atom_site_type_symbol
_atom_site_fract_x
_atom_site_fract_y
_atom_site_fract_z
_atom_site_occupancy
K1 K 0.000 0.000 0.000 1
K2 K 0.000 0.218 0.501 1
Al1 Al 0.000 0.500 0.998 1
# Theoretical density, g/cm³: 1.306
# Magnetization, μB per cell: 0.71

***

Entry b
# K3Al | Alexandria | PBEsol | optimized geometry
data_K3Al
_space_group_name_H-M_alt 'P 63/m m c'
_space_group_IT_number 194
_space_group_name_Hall '-P 6c 2c'
_cell_length_a 8.0310
_cell_length_b 8.0310
_cell_length_c 6.4376
_cell_angle_alpha 90.00
_cell_angle_beta 90.00
_cell_angle_gamma 120.00
loop_
_atom_site_label
_atom_site_type_symbol
_atom_site_fract_x
_atom_site_fract_y
_atom_site_fract_z
_atom_site_occupancy
K1 K 0.1794 0.3588 0.2500 1
Al1 Al 0.3333 0.6667 0.7500 1
# Theoretical density, g/cm³: 1.333
# Magnetization, μB per cell: 0.00

***

Energy relative to the most stable one, in meV per atom: entry a 6; entry b 0

***

Entry a
# KLi3Al | Alexandria | PBEsol | optimized geometry
data_KLi3Al
_space_group_name_H-M_alt 'P m -3 m'
_space_group_IT_number 221
_space_group_name_Hall '-P 4 2 3'
_cell_length_a 5.286
_cell_length_b 5.286
_cell_length_c 5.286
_cell_angle_alpha 90.00
_cell_angle_beta 90.00
_cell_angle_gamma 90.00
loop_
_atom_site_label
_atom_site_type_symbol
_atom_site_fract_x
_atom_site_fract_y
_atom_site_fract_z
_atom_site_occupancy
K1 K 0.000 0.000 0.000 1
Li1 Li 0.000 0.500 0.500 1
Al1 Al 0.500 0.500 0.500 1
# Theoretical density, g/cm³: 0.977
# Magnetization, μB per cell: 0.01

***

Entry b
# KLi3Al | Alexandria | PBEsol | optimized geometry
data_KLi3Al
_space_group_name_H-M_alt 'P m -3 m'
_space_group_IT_number 221
_space_group_name_Hall '-P 4 2 3'
_cell_length_a 5.038
_cell_length_b 5.038
_cell_length_c 5.038
_cell_angle_alpha 90.00
_cell_angle_beta 90.00
_cell_angle_gamma 90.00
loop_
_atom_site_label
_atom_site_type_symbol
_atom_site_fract_x
_atom_site_fract_y
_atom_site_fract_z
_atom_site_occupancy
K1 K 0.000 0.000 0.000 1
Li1 Li 0.000 0.000 0.500 1
Al1 Al 0.500 0.500 0.500 1
# Theoretical density, g/cm³: 1.129
# Magnetization, μB per cell: 0.00

***

Energy relative to the most stable one, in meV per atom: entry a 0; entry b 654

***

Entry a
# KMnAl2 | Alexandria | PBEsol | optimized geometry
data_KMnAl2
_space_group_name_H-M_alt 'F m -3 m'
_space_group_IT_number 225
_space_group_name_Hall '-F 4 2 3'
_cell_length_a 6.837
_cell_length_b 6.837
_cell_length_c 6.837
_cell_angle_alpha 90.00
_cell_angle_beta 90.00
_cell_angle_gamma 90.00
loop_
_atom_site_label
_atom_site_type_symbol
_atom_site_fract_x
_atom_site_fract_y
_atom_site_fract_z
_atom_site_occupancy
K1 K 0.000 0.000 0.000 1
Mn1 Mn 0.000 0.000 0.500 1
Al1 Al 0.250 0.250 0.250 1
# Theoretical density, g/cm³: 3.076
# Magnetization, μB per cell: 14.91

***

Entry b
# KMnAl2 | Alexandria | PBEsol | optimized geometry
data_KMnAl2
_space_group_name_H-M_alt 'I 41/a m d'
_space_group_IT_number 141
_cell_length_a 5.280
_cell_length_b 5.280
_cell_length_c 17.109
_cell_angle_alpha 90.00
_cell_angle_beta 90.00
_cell_angle_gamma 90.00
loop_
_space_group_symop_operation_xyz
'x,y,z'
'-x,-y,-z'
'-y+1/4,x+3/4,z+1/4'
'y+1/4,-x+3/4,-z+1/4'
'-x+1/2,-y,z+1/2'
'x+1/2,y,-z+1/2'
'y+1/4,-x+1/4,z+3/4'
'-y+1/4,x+1/4,-z+3/4'
'x,-y,-z'
'-x,y,z'
'-y+1/4,-x+1/4,-z+3/4'
'y+1/4,x+1/4,z+3/4'
'-x+1/2,y,-z+1/2'
'x+1/2,-y,z+1/2'
'y+1/4,x+3/4,-z+1/4'
'-y+1/4,-x+3/4,z+1/4'
'x+1/2,y+1/2,z+1/2'
'-x+1/2,-y+1/2,-z+1/2'
'-y+3/4,x+1/4,z+3/4'
'y+3/4,-x+1/4,-z+3/4'
'-x,-y+1/2,z'
'x,y+1/2,-z'
'y+3/4,-x+3/4,z+1/4'
'-y+3/4,x+3/4,-z+1/4'
'x+1/2,-y+1/2,-z+1/2'
'-x+1/2,y+1/2,z+1/2'
'-y+3/4,-x+3/4,-z+1/4'
'y+3/4,x+3/4,z+1/4'
'-x,y+1/2,-z'
'x,-y+1/2,z'
'y+3/4,x+1/4,-z+3/4'
'-y+3/4,-x+1/4,z+3/4'
loop_
_atom_site_label
_atom_site_type_symbol
_atom_site_fract_x
_atom_site_fract_y
_atom_site_fract_z
_atom_site_occupancy
K1 K 0.000 0.250 0.375 1
Mn1 Mn 0.000 0.250 0.875 1
Al1 Al 0.000 0.000 0.000 1
# Theoretical density, g/cm³: 2.061
# Magnetization, μB per cell: 13.14

***

Energy relative to the most stable one, in meV per atom: entry a 0; entry b 50